Computed, not measured: a relaxed Rb2NaCdAg crystal at the PBE-GGA level of DFT.

* uncorrected energy: -6.6 eV per cell
* DOS(E_F): 4.54 states/eV per cell
* energy relative to the elements: 0.084 eV per atom
* total magnetic moment: 0.00 μB per formula unit
* V: 251.46 Å³ per cell
* space group: P4/mmm (123)

Lattice parameters (Å, degrees): 6.757 6.757 5.507 90.00 90.00 90.00
Atoms (fractional coordinates):
Rb 0.000 0.500 0.000
Rb 0.500 0.000 0.000
Na 0.000 0.000 0.500
Cd 0.500 0.500 0.500
Ag 0.500 0.500 0.000

***

Computed, not measured: a relaxed RbNaCd2Ag crystal at the PBE-GGA level of DFT.

* uncorrected energy: -14.2 eV per cell
* DOS(E_F): 5.56 states/eV per cell
* energy relative to the elements: -0.024 eV per atom
* total magnetic moment: 0.00 μB per formula unit
* V: 314.99 Å³ per cell
* space group: Imm2 (44)

Lattice parameters (Å, degrees): 4.800 5.132 12.787 90.00 90.00 90.00
Atoms (fractional coordinates):
Rb 0.000 0.000 0.000
Rb 0.500 0.500 0.500
Na 0.000 0.500 0.738
Na 0.500 0.000 0.238
Cd 0.000 0.000 0.393
Cd 0.000 0.500 0.248
Cd 0.500 0.000 0.748
Cd 0.500 0.500 0.893
Ag 0.000 0.000 0.614
Ag 0.500 0.500 0.114

***

Computed, not measured: a relaxed Rb2NaCd5Ag2 crystal at the PBE-GGA level of DFT.

* uncorrected energy: -26.9 eV per cell
* DOS(E_F): 9.75 states/eV per cell
* energy relative to the elements: 0.007 eV per atom
* total magnetic moment: 0.00 μB per formula unit
* V: 599.12 Å³ per cell
* space group: P4/mbm (127)

Lattice parameters (Å, degrees): 11.719 11.719 4.363 90.00 90.00 90.00
Atoms (fractional coordinates):
Rb 0.179 0.321 0.000
Rb 0.321 0.821 0.000
Rb 0.679 0.179 0.000
Rb 0.821 0.679 0.000
Na 0.000 0.000 0.000
Na 0.500 0.500 0.000
Cd 0.000 0.500 0.500
Cd 0.062 0.785 0.500
Cd 0.215 0.062 0.500
Cd 0.285 0.562 0.500
Cd 0.438 0.285 0.500
Cd 0.500 0.000 0.500
Cd 0.562 0.715 0.500
Cd 0.715 0.438 0.500
Cd 0.785 0.938 0.500
Cd 0.938 0.215 0.500
Ag 0.117 0.617 0.000
Ag 0.383 0.117 0.000
Ag 0.617 0.883 0.000
Ag 0.883 0.383 0.000

***

Computed, not measured: a relaxed RbNaCdAg crystal at the PBE-GGA level of DFT.

* uncorrected energy: -22.7 eV per cell
* DOS(E_F): 6.83 states/eV per cell
* energy relative to the elements: 0.096 eV per atom
* total magnetic moment: 0.00 μB per formula unit
* V: 548.58 Å³ per cell
* space group: F-43m (216)

Lattice parameters (Å, degrees): 8.186 8.186 8.186 90.00 90.00 90.00
Atoms (fractional coordinates):
Rb 0.000 0.000 0.000
Rb 0.000 0.500 0.500
Rb 0.500 0.000 0.500
Rb 0.500 0.500 0.000
Na 0.000 0.000 0.500
Na 0.000 0.500 0.000
Na 0.500 0.000 0.000
Na 0.500 0.500 0.500
Cd 0.250 0.250 0.750
Cd 0.250 0.750 0.250
Cd 0.750 0.250 0.250
Cd 0.750 0.750 0.750
Ag 0.250 0.250 0.250
Ag 0.250 0.750 0.750
Ag 0.750 0.250 0.750
Ag 0.750 0.750 0.250

***

Computed, not measured: a relaxed RbNaCd2Ag crystal at the PBE-GGA level of DFT.

* uncorrected energy: -7.0 eV per cell
* DOS(E_F): 2.12 states/eV per cell
* energy relative to the elements: -0.003 eV per atom
* total magnetic moment: 0.00 μB per formula unit
* V: 172.26 Å³ per cell
* space group: P4/mmm (123)

Lattice parameters (Å, degrees): 5.487 5.487 5.721 90.00 90.00 90.00
Atoms (fractional coordinates):
Rb 0.000 0.000 0.000
Na 0.500 0.500 0.000
Cd 0.000 0.500 0.500
Cd 0.500 0.000 0.500
Ag 0.500 0.500 0.500

***

Computed, not measured: a relaxed NaCd2ReAg crystal at the PBE-GGA level of DFT.

* uncorrected energy: -12.1 eV per cell
* DOS(E_F): 4.37 states/eV per cell
* energy relative to the elements: 1.279 eV per atom
* total magnetic moment: 2.51 μB per formula unit
* V: 155.21 Å³ per cell
* space group: P4/mmm (123)

Lattice parameters (Å, degrees): 5.296 5.296 5.533 90.00 90.00 90.00
Atoms (fractional coordinates):
Na 0.000 0.000 0.000
Cd 0.000 0.500 0.500
Cd 0.500 0.000 0.500
Re 0.000 0.000 0.500
Ag 0.500 0.500 0.000

***

Computed, not measured: a relaxed Na2CdReAg crystal at the PBE-GGA level of DFT.

* uncorrected energy: -12.0 eV per cell
* DOS(E_F): 4.52 states/eV per cell
* energy relative to the elements: 1.369 eV per atom
* total magnetic moment: 3.25 μB per formula unit
* V: 171.86 Å³ per cell
* space group: P4/mmm (123)

Lattice parameters (Å, degrees): 5.735 5.735 5.226 90.00 90.00 90.00
Atoms (fractional coordinates):
Na 0.000 0.500 0.000
Na 0.500 0.000 0.000
Cd 0.000 0.000 0.500
Re 0.500 0.500 0.000
Ag 0.500 0.500 0.500

***

Computed, not measured: a relaxed NaCdAgSb crystal at the PBE-GGA level of DFT.

* uncorrected energy: -37.8 eV per cell
* DOS(E_F): 7.55 states/eV per cell
* total magnetic moment: 0.00 μB per formula unit
* V: 365.07 Å³ per cell
* space group: F-43m (216)
* E_form (uncorrected): -0.062 eV/atom

Lattice parameters (Å, degrees): 7.147 7.147 7.147 90.00 90.00 90.00
Atoms (fractional coordinates):
Na 0.000 0.000 0.000
Na 0.000 0.500 0.500
Na 0.500 0.000 0.500
Na 0.500 0.500 0.000
Cd 0.250 0.250 0.750
Cd 0.250 0.750 0.250
Cd 0.750 0.250 0.250
Cd 0.750 0.750 0.750
Ag 0.000 0.000 0.500
Ag 0.000 0.500 0.000
Ag 0.500 0.000 0.000
Ag 0.500 0.500 0.500
Sb 0.250 0.250 0.250
Sb 0.250 0.750 0.750
Sb 0.750 0.250 0.750
Sb 0.750 0.750 0.250

***

Computed, not measured: a relaxed NaSc2CdAg crystal at the PBE-GGA level of DFT.

* uncorrected energy: -13.6 eV per cell
* DOS(E_F): 4.98 states/eV per cell
* energy relative to the elements: 0.822 eV per atom
* total magnetic moment: 1.50 μB per formula unit
* V: 130.16 Å³ per cell
* space group: P4/mmm (123)

Lattice parameters (Å, degrees): 5.225 5.225 4.768 90.00 90.00 90.00
Atoms (fractional coordinates):
Na 0.000 0.000 0.000
Sc 0.000 0.500 0.000
Sc 0.500 0.000 0.000
Cd 0.500 0.500 0.500
Ag 0.000 0.000 0.500

***

Computed, not measured: a relaxed NaScCdAg crystal at the PBE-GGA level of DFT.

* uncorrected energy: -46.2 eV per cell
* DOS(E_F): 19.17 states/eV per cell
* energy relative to the elements: -0.031 eV per atom
* total magnetic moment: 0.00 μB per formula unit
* V: 349.36 Å³ per cell
* space group: F-43m (216)

Lattice parameters (Å, degrees): 7.043 7.043 7.043 90.00 90.00 90.00
Atoms (fractional coordinates):
Na 0.000 0.000 0.000
Na 0.000 0.500 0.500
Na 0.500 0.000 0.500
Na 0.500 0.500 0.000
Sc 0.000 0.000 0.500
Sc 0.000 0.500 0.000
Sc 0.500 0.000 0.000
Sc 0.500 0.500 0.500
Cd 0.250 0.250 0.250
Cd 0.250 0.750 0.750
Cd 0.750 0.250 0.750
Cd 0.750 0.750 0.250
Ag 0.250 0.250 0.750
Ag 0.250 0.750 0.250
Ag 0.750 0.250 0.250
Ag 0.750 0.750 0.750

***

Computed, not measured: a relaxed NaCdAgSe2 crystal at the PBE-GGA level of DFT.

* uncorrected energy: -12.1 eV per cell
* DOS(E_F): 3.89 states/eV per cell
* total magnetic moment: 0.00 μB per formula unit
* V: 143.54 Å³ per cell
* space group: P4/mmm (123)
* E_form (uncorrected): -0.013 eV/atom

Lattice parameters (Å, degrees): 5.269 5.269 5.171 90.00 90.00 90.00
Atoms (fractional coordinates):
Na 0.000 0.000 0.000
Cd 0.500 0.500 0.000
Ag 0.500 0.500 0.500
Se 0.000 0.500 0.500
Se 0.500 0.000 0.500

***

Computed, not measured: a relaxed NaCdAgSe2 crystal at the PBE-GGA level of DFT.

* uncorrected energy: -29.8 eV per cell
* DOS(E_F): 0.47 states/eV per cell
* total magnetic moment: 0.00 μB per formula unit
* V: 273.82 Å³ per cell
* space group: C2/m (12)
* E_form (uncorrected): -0.567 eV/atom

Lattice parameters (Å, degrees): 7.664 7.664 8.771 98.18 98.18 32.51
Atoms (fractional coordinates):
Na 0.192 0.192 0.172
Na 0.808 0.808 0.828
Cd 0.436 0.436 0.307
Cd 0.564 0.564 0.693
Ag 0.180 0.180 0.541
Ag 0.820 0.820 0.459
Se 0.146 0.146 0.836
Se 0.382 0.382 0.630
Se 0.618 0.618 0.370
Se 0.854 0.854 0.164

***

What is the V in the sixth record? 155.21 Å³ per cell

***

Among the records above, which one has the highest uncorrected energy? Rb2NaCdAg

***

Which value of V does entry 3 give? 599.12 Å³ per cell